Entry 1:
The following is a DFT calculation (PBE) of a geometry-optimized Y3Th2ScAs6 structure.

Unit cell a=18.037 b=4.152 c=8.267 alpha=90.00 beta=103.41 gamma=90.00
Space group C2/m (No. 12)
Inequivalent atoms, fractional coordinates:
Y  0.000  0.000  0.000 x2
Y  0.167  0.500  0.334 x4
Th  0.163  0.500  0.828 x4
Sc  0.000  0.000  0.500 x2
As  0.003  0.500  0.262 x4
As  0.162  0.000  0.574 x4
As  0.166  0.000  0.087 x4



Entry 2:
The following is a DFT calculation (PBE) of a geometry-optimized Th2ZrScAs4 structure.

Unit cell a=6.988 b=4.077 c=7.092 alpha=90.00 beta=109.57 gamma=90.00
Space group P2/m (No. 10)
Inequivalent atoms, fractional coordinates:
Th  0.000  0.000  0.000 x1
Th  0.000  0.500  0.500 x1
Zr  0.500  0.000  0.500 x1
Sc  0.500  0.500  0.000 x1
As  0.274  0.500  0.257 x2
As  0.275  0.000  0.759 x2



Entry 3:
The following is a DFT calculation (PBE) of a geometry-optimized ScTi3As structure.

Unit cell a=4.746 b=4.746 c=4.746 alpha=90.00 beta=90.00 gamma=90.00
Space group Pm-3m (No. 221)
Inequivalent atoms, fractional coordinates:
Sc  0.000  0.000  0.000 x1
Ti  0.000  0.500  0.500 x3
As  0.500  0.500  0.500 x1

energy above the lowest structure with this stoichiometry	0.000	eV/atom



Entry 4:
The following is a DFT calculation (PBE) of a geometry-optimized ScTi3As structure.

Unit cell a=4.670 b=4.670 c=4.670 alpha=90.00 beta=90.00 gamma=90.00
Space group Pm-3m (No. 221)
Inequivalent atoms, fractional coordinates:
Sc  0.000  0.000  0.000 x1
Ti  0.000  0.000  0.500 x3
As  0.500  0.500  0.500 x1

energy above the lowest structure with this stoichiometry	1.120	eV/atom



Entry 5:
The following is a DFT calculation (PBE) of a geometry-optimized ScTiAs structure.

Unit cell a=10.152 b=3.515 c=7.237 alpha=90.00 beta=119.90 gamma=90.00
Space group Cm (No. 8)
Inequivalent atoms, fractional coordinates:
Sc  0.000  0.000  0.000 x2
Sc  0.223  0.500  0.405 x2
Ti  0.087  0.500  0.711 x2
Ti  0.302  0.000  0.103 x2
As  0.302  0.000  0.737 x2
As  0.483  0.500  0.375 x2



Entry 6:
The following is a DFT calculation (PBE) of a geometry-optimized ScTiAs structure.

Unit cell a=3.412 b=3.412 c=9.256 alpha=90.00 beta=90.00 gamma=90.00
Space group I4mm (No. 107)
Inequivalent atoms, fractional coordinates:
Sc  0.000  0.000  0.000 x2
Ti  0.000  0.000  0.312 x2
As  0.000  0.000  0.679 x2



Entry 7:
The following is a DFT calculation (PBE) of a geometry-optimized Sc4TiAs5 structure.

Unit cell a=8.561 b=8.561 c=5.427 alpha=90.00 beta=90.00 gamma=90.00
Space group I4/m (No. 87)
Inequivalent atoms, fractional coordinates:
Sc  0.097  0.301  0.000 x8
Ti  0.000  0.000  0.500 x2
As  0.000  0.000  0.000 x2
As  0.098  0.292  0.500 x8



Entry 8:
The following is a DFT calculation (PBE) of a geometry-optimized Sc3TiAs structure.

Unit cell a=5.022 b=5.022 c=5.022 alpha=90.00 beta=90.00 gamma=90.00
Space group Pm-3m (No. 221)
Inequivalent atoms, fractional coordinates:
Sc  0.000  0.000  0.500 x3
Ti  0.500  0.500  0.500 x1
As  0.000  0.000  0.000 x1

energy above the lowest structure with this stoichiometry	0.000	eV/atom



Entry 9:
The following is a DFT calculation (PBE) of a geometry-optimized ScTi3As3 structure.

Unit cell a=7.0907 b=7.0907 c=19.8474 alpha=90.00 beta=90.00 gamma=120.00
Space group R-3 (No. 148, hexagonal axes)
Inequivalent atoms, fractional coordinates:
Sc  0.0000  0.0000  0.1647 x6
Ti  0.0077  0.7340  0.6212 x18
As  0.0070  0.6212  0.4181 x18



Entry 10:
The following is a DFT calculation (PBE) of a geometry-optimized Sc2TiAs3 structure.

Unit cell a=3.808 b=3.808 c=16.121 alpha=90.00 beta=90.00 gamma=90.00
Space group I4/mmm (No. 139)
Inequivalent atoms, fractional coordinates:
Sc  0.000  0.000  0.167 x4
Ti  0.000  0.000  0.500 x2
As  0.000  0.000  0.000 x2
As  0.000  0.000  0.337 x4



Entry 11:
The following is a DFT calculation (PBE) of a geometry-optimized ScTiAs structure.

Unit cell a=3.494 b=3.582 c=18.191 alpha=90.00 beta=90.00 gamma=90.00
Space group Amm2 (No. 38)
Inequivalent atoms, fractional coordinates:
Sc  0.000  0.000  0.000 x2
Sc  0.000  0.000  0.329 x2
Ti  0.000  0.000  0.158 x2
Ti  0.500  0.000  0.735 x2
As  0.500  0.000  0.587 x2
As  0.500  0.000  0.885 x2



Entry 12:
The following is a DFT calculation (PBE) of a geometry-optimized Sc3TiAs structure.

Unit cell a=4.921 b=4.921 c=4.921 alpha=90.00 beta=90.00 gamma=90.00
Space group Pm-3m (No. 221)
Inequivalent atoms, fractional coordinates:
Sc  0.000  0.000  0.500 x3
Ti  0.000  0.000  0.000 x1
As  0.500  0.500  0.500 x1

energy above the lowest structure with this stoichiometry	0.480	eV/atom



Number 1: N(E_F) 0.34 states/eV per atom, calculated formation energy -1.46 eV per atom. Number 2: N(E_F) 0.43 states/eV per atom, calculated formation energy -1.31 eV per atom. Number 3: N(E_F) 0.85 states/eV per atom, calculated formation energy 0.03 eV per atom. Number 4: N(E_F) 1.26 states/eV per atom, calculated formation energy 1.15 eV per atom. Number 5: N(E_F) 0.87 states/eV per atom, calculated formation energy -0.71 eV per atom. Number 6: N(E_F) 0.86 states/eV per atom, calculated formation energy -0.68 eV per atom. Number 7: N(E_F) 0.27 states/eV per atom, calculated formation energy -1.26 eV per atom. Number 8: N(E_F) 2.80 states/eV per atom, calculated formation energy 0.04 eV per atom. Number 9: N(E_F) 0.95 states/eV per atom, calculated formation energy -0.74 eV per atom. Number 10: N(E_F) 0.41 states/eV per atom, calculated formation energy -1.17 eV per atom. Number 11: N(E_F) 1.05 states/eV per atom, calculated formation energy -0.72 eV per atom. Number 12: N(E_F) 0.90 states/eV per atom, calculated formation energy 0.52 eV per atom.